A geometry-optimized LaNd2AlN structure, computed with PBE-GGA. Values from VASP.

Calculated values
The theoretical density is 6.11 Mg/m³. The value obtained for the calculated total energy is -30.3 eV/cell. Its magnetization is 0.00 Bohr magnetons per cell. As for the formation energy (no corrections): -3.8 eV/f.u.

```
&SYSTEM
  ibrav = 0, nat = 5, ntyp = 4
/
ATOMIC_SPECIES
La 138.91 La.upf
Nd 144.24 Nd.upf
Al 26.98 Al.upf
N 14.01 N.upf
ATOMIC_POSITIONS angstrom
La 0.000 0.000 0.000
Nd 0.000 2.513 2.521
Nd 2.513 0.000 2.521
Al 2.513 2.513 0.000
N 0.000 0.000 2.521
CELL_PARAMETERS angstrom
5.026 0.000 0.000
0.000 5.026 0.000
0.000 0.000 5.043
```

A geometry-optimized La2AlNiN structure, computed with PBE-GGA. Values from VASP.

Calculated values
The theoretical density is 6.03 Mg/m³. The value obtained for the calculated total energy is -30.6 eV/cell. Its magnetization is 0.00 Bohr magnetons per cell. As for the formation energy (no corrections): -2.9 eV/f.u.

```
&SYSTEM
  ibrav = 0, nat = 5, ntyp = 4
/
ATOMIC_SPECIES
La 138.91 La.upf
Al 26.98 Al.upf
Ni 58.69 Ni.upf
N 14.01 N.upf
ATOMIC_POSITIONS angstrom
La 0.000 2.640 0.000
La 2.640 0.000 0.000
Al 0.000 0.000 1.862
Ni 2.640 2.640 1.862
N 2.640 2.640 0.000
CELL_PARAMETERS angstrom
5.281 0.000 0.000
0.000 5.281 0.000
0.000 0.000 3.725
```

A geometry-optimized La2NpAlN5 structure, computed with PBE-GGA. Values from VASP.

Calculated values
The theoretical density is 7.70 Mg/m³. The value obtained for the calculated total energy is -158.4 eV/cell. Its magnetization is 2.00 Bohr magnetons per cell. As for the formation energy (no corrections): -11.0 eV/f.u.

```
&SYSTEM
  ibrav = 0, nat = 18, ntyp = 4
/
ATOMIC_SPECIES
La 138.91 La.upf
Np 237.00 Np.upf
Al 26.98 Al.upf
N 14.01 N.upf
ATOMIC_POSITIONS angstrom
La 1.747 5.622 5.350
La 1.747 5.243 1.446
La 1.747 -5.243 6.796
La 1.747 -5.622 0.000
Np 1.747 4.147 8.980
Np 1.747 -4.147 3.631
Al 1.747 0.652 2.797
Al 1.747 -0.652 8.147
N 1.747 6.347 8.984
N 1.747 3.056 4.974
N 1.747 2.641 2.286
N 1.747 2.108 8.824
N 1.747 0.087 6.446
N 1.747 -0.087 1.097
N 1.747 -2.108 3.474
N 1.747 -2.641 7.636
N 1.747 -3.056 10.324
N 1.747 -6.347 3.634
CELL_PARAMETERS angstrom
1.747 -7.058 0.000
1.747 7.058 0.000
0.000 0.000 10.699
```

A geometry-optimized LaAlN2O structure, computed with PBE-GGA. Values from VASP.

Calculated values
The theoretical density is 4.12 Mg/m³. The value obtained for the calculated total energy is -27.3 eV/cell. Its magnetization is 0.13 Bohr magnetons per cell. As for the formation energy (no corrections): 3.0 eV/f.u.

```
&SYSTEM
  ibrav = 0, nat = 5, ntyp = 4
/
ATOMIC_SPECIES
La 138.91 La.upf
Al 26.98 Al.upf
N 14.01 N.upf
O 16.00 O.upf
ATOMIC_POSITIONS angstrom
La 0.000 0.000 0.000
Al 2.190 2.190 2.204
N 0.000 2.190 0.000
N 2.190 0.000 0.000
O 0.000 0.000 2.204
CELL_PARAMETERS angstrom
4.379 0.000 0.000
0.000 4.379 0.000
0.000 0.000 4.407
```

A geometry-optimized LaAlN2O structure, computed with PBE-GGA. Values from VASP.

Calculated values
The theoretical density is 5.98 Mg/m³. The value obtained for the calculated total energy is -36.9 eV/cell. Its magnetization is 0.00 Bohr magnetons per cell. As for the formation energy (no corrections): -6.6 eV/f.u.

```
&SYSTEM
  ibrav = 0, nat = 5, ntyp = 4
/
ATOMIC_SPECIES
La 138.91 La.upf
Al 26.98 Al.upf
N 14.01 N.upf
O 16.00 O.upf
ATOMIC_POSITIONS angstrom
La 0.000 0.000 0.000
Al 1.907 1.907 2.004
N 0.000 1.907 2.004
N 1.907 0.000 2.004
O 1.907 1.907 0.000
CELL_PARAMETERS angstrom
3.814 0.000 0.000
0.000 3.814 0.000
0.000 0.000 4.008
```

A geometry-optimized La2PaAlN5 structure, computed with PBE-GGA. Values from VASP.

Calculated values
The theoretical density is 7.56 Mg/m³. The value obtained for the calculated total energy is -151.9 eV/cell. Its magnetization is 0.00 Bohr magnetons per cell. As for the formation energy (no corrections): -11.3 eV/f.u.

```
&SYSTEM
  ibrav = 0, nat = 18, ntyp = 4
/
ATOMIC_SPECIES
La 138.91 La.upf
Pa 231.04 Pa.upf
Al 26.98 Al.upf
N 14.01 N.upf
ATOMIC_POSITIONS angstrom
La 1.751 5.552 5.365
La 1.751 5.293 1.117
La 1.751 -5.293 6.482
La 1.751 -5.552 0.000
Pa 1.751 4.122 8.708
Pa 1.751 -4.122 3.343
Al 1.751 0.094 2.954
Al 1.751 -0.094 8.319
N 1.751 6.432 8.941
N 1.751 3.055 4.793
N 1.751 2.863 1.916
N 1.751 1.850 8.737
N 1.751 0.056 6.404
N 1.751 -0.056 1.039
N 1.751 -1.850 3.373
N 1.751 -2.863 7.281
N 1.751 -3.055 10.158
N 1.751 -6.432 3.576
CELL_PARAMETERS angstrom
1.751 -7.084 0.000
1.751 7.084 0.000
0.000 0.000 10.730
```

A geometry-optimized La12AlPb4N3 structure, computed with PBE-GGA. Values from VASP.

Calculated values
The theoretical density is 7.20 Mg/m³. The value obtained for the calculated total energy is -116.4 eV/cell. Its magnetization is 0.00 Bohr magnetons per cell. As for the formation energy (no corrections): -13.7 eV/f.u.

```
&SYSTEM
  ibrav = 0, nat = 20, ntyp = 4
/
ATOMIC_SPECIES
La 138.91 La.upf
Al 26.98 Al.upf
Pb 207.20 Pb.upf
N 14.01 N.upf
ATOMIC_POSITIONS angstrom
La 2.880 0.000 0.000
La 7.696 0.000 0.000
La 5.288 2.644 0.000
La 5.288 0.000 2.644
La 0.000 2.880 0.000
La 0.000 0.000 2.880
La 2.644 5.288 0.000
La 2.644 0.000 5.288
La 0.000 7.696 0.000
La 0.000 0.000 7.696
La 0.000 5.288 2.644
La 0.000 2.644 5.288
Al 0.000 0.000 0.000
Pb 2.644 2.644 -2.644
Pb 2.644 -2.644 2.644
Pb -2.644 2.644 2.644
Pb 2.644 2.644 2.644
N 5.288 0.000 0.000
N 0.000 5.288 0.000
N 0.000 0.000 5.288
CELL_PARAMETERS angstrom
-5.288 5.288 5.288
5.288 -5.288 5.288
5.288 5.288 -5.288
```

A geometry-optimized LaAlPdN structure, computed with PBE-GGA. Values from VASP.

Calculated values
The theoretical density is 6.70 Mg/m³. The value obtained for the calculated total energy is -53.1 eV/cell. Its magnetization is 0.00 Bohr magnetons per cell. As for the formation energy (no corrections): -4.4 eV/f.u.

```
&SYSTEM
  ibrav = 0, nat = 8, ntyp = 4
/
ATOMIC_SPECIES
La 138.91 La.upf
Al 26.98 Al.upf
Pd 106.42 Pd.upf
N 14.01 N.upf
ATOMIC_POSITIONS angstrom
La 0.994 0.994 1.266
La 2.981 2.981 7.719
Al 0.994 0.994 5.999
Al 2.981 2.981 2.986
Pd 0.994 2.981 4.492
Pd 2.981 0.994 4.492
N 0.994 0.994 7.879
N 2.981 2.981 1.106
CELL_PARAMETERS angstrom
3.975 0.000 0.000
0.000 3.975 0.000
0.000 0.000 8.984
```

A geometry-optimized LaAlPdN2 structure, computed with PBE-GGA. Values from VASP.

Calculated values
The theoretical density is 3.85 Mg/m³. The value obtained for the calculated total energy is -25.2 eV/cell. Its magnetization is 0.18 Bohr magnetons per cell. As for the formation energy (no corrections): 5.3 eV/f.u.

```
&SYSTEM
  ibrav = 0, nat = 5, ntyp = 4
/
ATOMIC_SPECIES
La 138.91 La.upf
Al 26.98 Al.upf
Pd 106.42 Pd.upf
N 14.01 N.upf
ATOMIC_POSITIONS angstrom
La 0.000 0.000 0.000
Al 0.000 0.000 3.854
Pd 2.050 2.050 3.854
N 0.000 2.050 0.000
N 2.050 0.000 0.000
CELL_PARAMETERS angstrom
4.100 0.000 0.000
0.000 4.100 0.000
0.000 0.000 7.707
```

A geometry-optimized LaPm2AlN structure, computed with PBE-GGA. Values from VASP.

Calculated values
The theoretical density is 6.24 Mg/m³. The value obtained for the calculated total energy is -30.4 eV/cell. Its magnetization is 0.00 Bohr magnetons per cell. As for the formation energy (no corrections): -3.9 eV/f.u.

```
&SYSTEM
  ibrav = 0, nat = 5, ntyp = 4
/
ATOMIC_SPECIES
La 138.91 La.upf
Pm 145.00 Pm.upf
Al 26.98 Al.upf
N 14.01 N.upf
ATOMIC_POSITIONS angstrom
La 0.000 0.000 0.000
Pm 0.000 2.490 2.521
Pm 2.490 0.000 2.521
Al 2.490 2.490 0.000
N 0.000 0.000 2.521
CELL_PARAMETERS angstrom
4.981 0.000 0.000
0.000 4.981 0.000
0.000 0.000 5.043
```

A geometry-optimized LaPm12Al4N3 structure, computed with PBE-GGA. Values from VASP.

Calculated values
The theoretical density is 6.50 Mg/m³. The value obtained for the calculated total energy is -109.3 eV/cell. Its magnetization is 0.00 Bohr magnetons per cell. As for the formation energy (no corrections): -7.4 eV/f.u.

```
&SYSTEM
  ibrav = 0, nat = 20, ntyp = 4
/
ATOMIC_SPECIES
La 138.91 La.upf
Pm 145.00 Pm.upf
Al 26.98 Al.upf
N 14.01 N.upf
ATOMIC_POSITIONS angstrom
La 0.000 0.000 0.000
Pm 2.777 0.000 0.000
Pm 7.345 0.000 0.000
Pm 5.061 2.530 0.000
Pm 5.061 0.000 2.530
Pm 0.000 2.777 0.000
Pm 0.000 0.000 2.777
Pm 2.530 5.061 0.000
Pm 2.530 0.000 5.061
Pm 0.000 7.345 0.000
Pm 0.000 0.000 7.345
Pm 0.000 5.061 2.530
Pm 0.000 2.530 5.061
Al 2.530 2.530 -2.530
Al 2.530 -2.530 2.530
Al -2.530 2.530 2.530
Al 2.530 2.530 2.530
N 5.061 0.000 0.000
N 0.000 5.061 0.000
N 0.000 0.000 5.061
CELL_PARAMETERS angstrom
-5.061 5.061 5.061
5.061 -5.061 5.061
5.061 5.061 -5.061
```

A geometry-optimized La2PmAlN structure, computed with PBE-GGA. Values from VASP.

Calculated values
The theoretical density is 5.99 Mg/m³. The value obtained for the calculated total energy is -30.5 eV/cell. Its magnetization is 0.00 Bohr magnetons per cell. As for the formation energy (no corrections): -3.8 eV/f.u.

```
&SYSTEM
  ibrav = 0, nat = 5, ntyp = 4
/
ATOMIC_SPECIES
La 138.91 La.upf
Pm 145.00 Pm.upf
Al 26.98 Al.upf
N 14.01 N.upf
ATOMIC_POSITIONS angstrom
La 0.000 2.536 0.000
La 2.536 0.000 0.000
Pm 0.000 0.000 2.500
Al 2.536 2.536 2.500
N 0.000 0.000 0.000
CELL_PARAMETERS angstrom
5.073 0.000 0.000
0.000 5.073 0.000
0.000 0.000 4.999
```